Nd2Ni5Ge3 (PBE, relaxed); DFT total energy = -5.5856 eV per atom; E_form = -0.36 eV per atom; symmetry = P-4m2; M_tot = 0.0 Bohr magnetons per cell; calculated volume = 16.795 Å³/atom; E above lowest polymorph = 88 meV per atom
1.0
-1.985 3.451 -0.138
-2.112 -1.339 -3.101
-7.262 -3.911 6.634
Ni Nd Ge
5 2 3
direct
0.000 0.500 0.133 Ni
0.500 0.500 0.000 Ni
0.500 0.500 0.500 Ni
0.500 0.000 0.867 Ni
0.000 0.000 0.000 Ni
0.500 0.000 0.215 Nd
0.000 0.500 0.785 Nd
0.500 0.000 0.648 Ge
0.000 0.000 0.500 Ge
0.000 0.500 0.352 Ge



DyZrI2 (PBE, relaxed); formation energy without anion corrections = -293 meV per atom; DFT total energy = -4.3555 eV per atom; symmetry = R-3m; M_tot = 0.0 Bohr magnetons per cell; calculated volume = 30.363 Å³/atom
1.0
3.680 0.000 0.000
1.840 3.187 0.000
1.840 1.062 10.354
Zr I Dy
1 2 1
direct
0.000 0.000 0.000 Zr
0.094 0.094 0.718 I
0.906 0.906 0.282 I
0.500 0.500 0.500 Dy



NaLiTlCd (PBE, relaxed); DFT total energy = -1.7857 eV per atom; E_form = -0.16 eV per atom; symmetry = F-43m; M_tot = 0.0 Bohr magnetons per cell; calculated volume = 23.076 Å³/atom
1.0
5.073 0.000 0.000
2.536 4.393 0.000
2.536 1.464 4.142
Na Li Cd Tl
1 1 1 1
direct
0.000 0.000 0.000 Na
0.250 0.250 0.250 Li
0.750 0.750 0.750 Cd
0.500 0.500 0.500 Tl



Li9CaSn2 (PBE, relaxed); DFT total energy = -2.4016 eV per atom; E_form = -0.13 eV per atom; symmetry = R-3m; M_tot = 0.0 Bohr magnetons per cell; calculated volume = 20.405 Å³/atom
1.0
-4.391 2.106 3.294
-5.077 1.560 -2.520
-6.011 -6.372 1.308
Li Sn Ca
9 2 1
direct
0.500 0.500 0.500 Li
0.934 0.389 0.288 Li
0.343 0.343 0.970 Li
0.389 0.934 0.288 Li
0.611 0.066 0.712 Li
0.657 0.657 0.030 Li
0.066 0.611 0.712 Li
0.611 0.611 0.712 Li
0.389 0.389 0.288 Li
0.133 0.133 0.602 Sn
0.867 0.867 0.398 Sn
0.000 0.000 0.000 Ca



AgTeOs2 (PBE, relaxed); formation energy without anion corrections = 689 meV per atom; DFT total energy = -6.4242 eV per atom; symmetry = Cm; M_tot = 0.0 Bohr magnetons per cell; calculated volume = 20.010 Å³/atom
1.0
-3.508 -1.716 -0.304
-1.579 -3.447 0.983
-2.705 2.091 6.865
Te Os Ag
1 2 1
direct
0.508 0.508 0.527 Te
0.991 0.991 0.958 Os
0.744 0.744 0.792 Os
0.256 0.256 0.223 Ag



Si3PdC (PBE, relaxed); formation energy without anion corrections = 1772 meV per atom; DFT total energy = -4.3647 eV per atom; symmetry = Pm-3m; M_tot = 0.5 Bohr magnetons per cell; calculated volume = 19.789 Å³/atom; E above lowest polymorph = 1142 meV per atom
1.0
-0.791 0.834 -4.480
1.508 -4.243 -1.056
-4.300 -1.641 0.453
Si C Pd
3 1 1
direct
0.000 0.000 0.500 Si
0.000 0.500 0.000 Si
0.500 0.000 0.000 Si
0.500 0.500 0.500 C
0.000 0.000 0.000 Pd



K2MnI2Br2 (PBE, relaxed); formation energy without anion corrections = -1146 meV per atom; DFT total energy = -3.6899 eV per atom; symmetry = C2/m; M_tot = 5.0 Bohr magnetons per cell; calculated volume = 36.884 Å³/atom
1.0
-3.743 1.576 -1.817
-3.584 -0.063 7.325
-1.439 7.410 3.940
Mn I K Br
1 2 2 2
direct
0.000 0.000 0.000 Mn
0.524 0.275 0.952 I
0.476 0.725 0.048 I
0.844 0.306 0.311 K
0.156 0.694 0.689 K
0.178 0.127 0.644 Br
0.822 0.873 0.356 Br



LiICl3 (PBE, relaxed); formation energy without anion corrections = -677 meV per atom; DFT total energy = -2.4782 eV per atom; symmetry = P1; M_tot = 0.7 Bohr magnetons per cell; calculated volume = 30.577 Å³/atom; E above lowest polymorph = 0 meV per atom
1.0
3.306 0.572 0.194
1.742 9.494 0.602
0.990 2.949 10.271
Li Cl I
2 6 2
direct
0.100 0.218 0.599 Li
0.388 0.686 0.183 Li
0.305 0.931 0.723 Cl
0.801 0.650 0.380 Cl
0.684 0.254 0.402 Cl
0.176 0.973 0.059 Cl
0.061 0.579 0.076 Cl
0.426 0.325 0.706 Cl
0.930 0.118 0.224 I
0.552 0.787 0.559 I



Copy entry 3 word for word.
NaLiTlCd (PBE, relaxed); DFT total energy = -1.7857 eV per atom; E_form = -0.16 eV per atom; symmetry = F-43m; M_tot = 0.0 Bohr magnetons per cell; calculated volume = 23.076 Å³/atom
1.0
5.073 0.000 0.000
2.536 4.393 0.000
2.536 1.464 4.142
Na Li Cd Tl
1 1 1 1
direct
0.000 0.000 0.000 Na
0.250 0.250 0.250 Li
0.750 0.750 0.750 Cd
0.500 0.500 0.500 Tl



Copy entry 1 word for word.
Nd2Ni5Ge3 (PBE, relaxed); DFT total energy = -5.5856 eV per atom; E_form = -0.36 eV per atom; symmetry = P-4m2; M_tot = 0.0 Bohr magnetons per cell; calculated volume = 16.795 Å³/atom; E above lowest polymorph = 88 meV per atom
1.0
-1.985 3.451 -0.138
-2.112 -1.339 -3.101
-7.262 -3.911 6.634
Ni Nd Ge
5 2 3
direct
0.000 0.500 0.133 Ni
0.500 0.500 0.000 Ni
0.500 0.500 0.500 Ni
0.500 0.000 0.867 Ni
0.000 0.000 0.000 Ni
0.500 0.000 0.215 Nd
0.000 0.500 0.785 Nd
0.500 0.000 0.648 Ge
0.000 0.000 0.500 Ge
0.000 0.500 0.352 Ge